The following is a PBE calculation of Ba2HgS3 after structural relaxation, from OQMD.

E_tot = -4.207 eV per atom
theoretical density = 5.5 g cm⁻³

Lattice parameters (Å, degrees): 9.0425 4.4017 17.4896 90.00 90.00 90.00
Fractional coordinates of all 24 atoms:
Ba 0.0766 0.2500 0.2158
Ba 0.2403 0.2500 0.9606
Ba 0.2597 0.7500 0.4606
Ba 0.4234 0.7500 0.7158
Ba 0.5766 0.2500 0.2842
Ba 0.7403 0.2500 0.5394
Ba 0.7597 0.7500 0.0394
Ba 0.9234 0.7500 0.7842
Hg 0.1245 0.2500 0.6330
Hg 0.3755 0.7500 0.1330
Hg 0.6245 0.2500 0.8670
Hg 0.8755 0.7500 0.3670
S 0.0161 0.2500 0.4039
S 0.1166 0.7500 0.0715
S 0.1870 0.2500 0.7778
S 0.3130 0.7500 0.2778
S 0.3834 0.2500 0.5715
S 0.4839 0.7500 0.9039
S 0.5161 0.2500 0.0961
S 0.6166 0.7500 0.4285
S 0.6870 0.2500 0.7222
S 0.8130 0.7500 0.2222
S 0.8834 0.2500 0.9285
S 0.9839 0.7500 0.5961



The following is a PBE calculation of TbGdCSe after structural relaxation, from OQMD.

E_tot = -6.618 eV per atom
total magnetization = 0.01 μB per formula unit
theoretical density = 8.1 g cm⁻³

Lattice parameters (Å, degrees): 3.7947 3.7947 13.4069 90.00 90.00 120.00
Fractional coordinates of all 8 atoms:
Tb 0.3333 0.6667 0.1001
Tb 0.6667 0.3333 0.8999
Gd 0.3333 0.6667 0.3986
Gd 0.6667 0.3333 0.6014
C 0.0000 0.0000 0.0000
C 0.0000 0.0000 0.5000
Se 0.3333 0.6667 0.7514
Se 0.6667 0.3333 0.2486



The following is a PBE calculation of AgGeSO after structural relaxation, from OQMD.

E_tot = -4.436 eV per atom
polymorph energy (0 for the lowest one) = 243 meV/atom
theoretical density = 5.2 g cm⁻³

Lattice parameters (Å, degrees): 7.1975 7.8237 5.1361 90.00 90.00 90.00
Fractional coordinates of all 16 atoms:
Ag 0.1530 0.1096 0.0000
Ag 0.3470 0.1096 0.5000
Ag 0.6530 0.8904 0.0000
Ag 0.8470 0.8904 0.5000
Ge 0.0753 0.6597 0.0033
Ge 0.4247 0.6597 0.5033
Ge 0.5753 0.3403 0.0033
Ge 0.9247 0.3403 0.5033
S 0.0819 0.6406 0.5045
S 0.4181 0.6406 0.0045
S 0.5819 0.3594 0.5045
S 0.9181 0.3594 0.0045
O 0.0295 0.1351 0.5040
O 0.4705 0.1351 0.0040
O 0.5295 0.8649 0.5040
O 0.9705 0.8649 0.0040



The following is a PBE calculation of PuTlPd after structural relaxation, from OQMD.

E_tot = -7.002 eV per atom
total magnetization = 6.07 μB per formula unit
theoretical density = 10.8 g cm⁻³

Lattice parameters (Å, degrees): 4.9478 4.9478 4.9478 60.00 60.00 60.00
Fractional coordinates of all 3 atoms:
Pu 0.0000 0.0000 0.0000
Tl 0.7500 0.7500 0.7500
Pd 0.2500 0.2500 0.2500



The following is a PBE calculation of Er3O2F5 after structural relaxation, from OQMD.

E_tot = -7.319 eV per atom
total magnetization = 0.00 μB per formula unit
theoretical density = 8.5 g cm⁻³

Lattice parameters (Å, degrees): 5.5349 16.8402 5.2772 90.00 90.00 90.00
Fractional coordinates of all 40 atoms:
Er 0.1775 0.0968 0.0375
Er 0.1775 0.4032 0.0375
Er 0.2407 0.2500 0.4578
Er 0.2593 0.7500 0.9578
Er 0.3225 0.5968 0.5375
Er 0.3225 0.9032 0.5375
Er 0.6775 0.0968 0.4625
Er 0.6775 0.4032 0.4625
Er 0.7407 0.2500 0.0422
Er 0.7593 0.7500 0.5422
Er 0.8225 0.5968 0.9625
Er 0.8225 0.9032 0.9625
O 0.0347 0.6682 0.7015
O 0.0347 0.8318 0.7015
O 0.4653 0.1682 0.2015
O 0.4653 0.3318 0.2015
O 0.5347 0.6682 0.7985
O 0.5347 0.8318 0.7985
O 0.9653 0.1682 0.2985
O 0.9653 0.3318 0.2985
F 0.1078 0.5124 0.7773
F 0.1078 0.9876 0.7773
F 0.1201 0.2500 0.8654
F 0.1659 0.6258 0.1691
F 0.1659 0.8742 0.1691
F 0.3341 0.1258 0.6691
F 0.3341 0.3742 0.6691
F 0.3799 0.7500 0.3654
F 0.3922 0.0124 0.2773
F 0.3922 0.4876 0.2773
F 0.6078 0.5124 0.7227
F 0.6078 0.9876 0.7227
F 0.6201 0.2500 0.6346
F 0.6659 0.6258 0.3309
F 0.6659 0.8742 0.3309
F 0.8341 0.1258 0.8309
F 0.8341 0.3742 0.8309
F 0.8799 0.7500 0.1346
F 0.8922 0.0124 0.2227
F 0.8922 0.4876 0.2227



The following is a PBE calculation of TlIrSeO after structural relaxation, from OQMD.

E_tot = -5.280 eV per atom
total magnetization = 0.00 μB per formula unit
polymorph energy (0 for the lowest one) = 0 meV/atom
theoretical density = 9.9 g cm⁻³

Lattice parameters (Å, degrees): 3.6802 8.1397 5.5306 90.00 90.00 90.00
Fractional coordinates of all 8 atoms:
Tl 0.0000 0.1175 0.0000
Tl 0.0000 0.8825 0.5000
Ir 0.5000 0.4998 0.2642
Ir 0.5000 0.5002 0.7642
Se 0.0000 0.3588 0.5125
Se 0.0000 0.6412 0.0125
O 0.5000 0.3114 0.0142
O 0.5000 0.6886 0.5142